# Er4Ni3Os PBE-GGA optimized geometry
# energy of formation	-0.391	eV/atom
# final energy	-149.87	eV for the cell shown
# theoretical density	11.38	g/cm³
data_Er4Ni3Os
_space_group_name_H-M_alt 'R -3 m'
_space_group_IT_number 166
_space_group_name_Hall '-R 3 2"'
_cell_length_a 4.7462
_cell_length_b 4.7462
_cell_length_c 23.2346
_cell_angle_alpha 90.00
_cell_angle_beta 90.00
_cell_angle_gamma 120.00
loop_
_atom_site_label
_atom_site_type_symbol
_atom_site_fract_x
_atom_site_fract_y
_atom_site_fract_z
Er1 Er 0.0000 0.0000 0.1251
Er2 Er 0.0000 0.0000 0.3753
Ni1 Ni 0.0000 0.0000 0.0000
Ni2 Ni 0.0000 0.0000 0.2492
Os1 Os 0.0000 0.0000 0.5000